1.
VASP calculation (GGA-PBE) on a relaxed structure of LuScOsPd.

Summary:
Energy of formation   -0.6634 eV per atom
Raw total energy   -119.72 eV/cell
DOS(E_F)   6.93 states/eV/cell

a b c (Å): 6.628 6.628 6.628
angles (deg): 90.00 90.00 90.00
Space group F-43m (No. 216)
Inequivalent atoms, fractional coordinates:
Lu1 0.000 0.000 0.000 (multiplicity 4)
Sc1 0.000 0.000 0.500 (multiplicity 4)
Os1 0.250 0.250 0.250 (multiplicity 4)
Pd1 0.250 0.250 0.750 (multiplicity 4)

2.
VASP calculation (GGA-PBE) on a relaxed structure of LuTaOsPd.

Summary:
Energy of formation   -0.3818 eV per atom
Raw total energy   -137.29 eV/cell
DOS(E_F)   13.39 states/eV/cell

a b c (Å): 6.567 6.567 6.567
angles (deg): 90.00 90.00 90.00
Space group F-43m (No. 216)
Inequivalent atoms, fractional coordinates:
Lu1 0.000 0.000 0.000 (multiplicity 4)
Ta1 0.000 0.000 0.500 (multiplicity 4)
Os1 0.250 0.250 0.750 (multiplicity 4)
Pd1 0.250 0.250 0.250 (multiplicity 4)

3.
VASP calculation (GGA-PBE) on a relaxed structure of LuThOsPd.

Summary:
Energy of formation   -0.5652 eV per atom
Raw total energy   -122.50 eV/cell
DOS(E_F)   9.89 states/eV/cell

a b c (Å): 7.006 7.006 7.006
angles (deg): 90.00 90.00 90.00
Space group F-43m (No. 216)
Inequivalent atoms, fractional coordinates:
Lu1 0.000 0.000 0.000 (multiplicity 4)
Th1 0.000 0.000 0.500 (multiplicity 4)
Os1 0.250 0.250 0.750 (multiplicity 4)
Pd1 0.250 0.250 0.250 (multiplicity 4)

4.
VASP calculation (GGA-PBE) on a relaxed structure of LuTiOsPd.

Summary:
Energy of formation   -0.5382 eV per atom
Raw total energy   -123.96 eV/cell
DOS(E_F)   10.07 states/eV/cell

a b c (Å): 6.505 6.505 6.505
angles (deg): 90.00 90.00 90.00
Space group F-43m (No. 216)
Inequivalent atoms, fractional coordinates:
Lu1 0.000 0.000 0.000 (multiplicity 4)
Ti1 0.000 0.000 0.500 (multiplicity 4)
Os1 0.250 0.250 0.250 (multiplicity 4)
Pd1 0.250 0.250 0.750 (multiplicity 4)

5.
VASP calculation (GGA-PBE) on a relaxed structure of YLuOsPd.

Summary:
Energy of formation   -0.5783 eV per atom
Raw total energy   -118.88 eV/cell
DOS(E_F)   7.66 states/eV/cell

a b c (Å): 6.834 6.834 6.834
angles (deg): 90.00 90.00 90.00
Space group F-43m (No. 216)
Inequivalent atoms, fractional coordinates:
Y1 0.000 0.000 0.000 (multiplicity 4)
Lu1 0.000 0.000 0.500 (multiplicity 4)
Os1 0.250 0.250 0.750 (multiplicity 4)
Pd1 0.250 0.250 0.250 (multiplicity 4)

6.
VASP calculation (GGA-PBE) on a relaxed structure of PmLu3Os.

Summary:
Energy of formation   -0.0565 eV per atom
Raw total energy   -29.83 eV/cell
DOS(E_F)   6.93 states/eV/cell

a b c (Å): 5.333 5.333 5.333
angles (deg): 90.00 90.00 90.00
Space group Pm-3m (No. 221)
Inequivalent atoms, fractional coordinates:
Pm1 0.000 0.000 0.000 (multiplicity 1)
Lu1 0.000 0.500 0.500 (multiplicity 3)
Os1 0.500 0.500 0.500 (multiplicity 1)

The highest raw total energy belongs to which entry? PmLu3Os

Which value of energy of formation does entry 6 give? -0.0565 eV per atom

The lowest raw total energy belongs to which entry? LuTaOsPd

raw total energy of number 2 (LuTaOsPd)? -137.29 eV/cell